Here is crystalline Ba2ZnSn4Pt3 at its relaxed geometry from Alexandria. Energies are from PBE-GGA.

Computed properties:
Space group: P-4m2
Electronic total energy in eV/cell: -46.4
V in Å³/cell: 250

a = 4.789 Å, b = 4.789 Å, c = 10.911 Å
α = 90.00°, β = 90.00°, γ = 90.00°
Sites, in units of the cell vectors:
Ba  0.000  0.500  0.245
Ba  0.500  0.000  0.755
Zn  0.500  0.500  0.000
Sn  0.000  0.000  0.500
Sn  0.000  0.500  0.872
Sn  0.500  0.000  0.128
Sn  0.500  0.500  0.500
Pt  0.000  0.000  0.000
Pt  0.000  0.500  0.622
Pt  0.500  0.000  0.378



Here is crystalline Ac2CeErAs4 at its relaxed geometry from Alexandria. Energies are from PBE-GGA.

Computed properties:
Space group: P2/m
Electronic total energy in eV/cell: -48.9
V in Å³/cell: 233

a = 7.517 Å, b = 4.351 Å, c = 7.553 Å
α = 90.00°, β = 109.39°, γ = 90.00°
Sites, in units of the cell vectors:
Ac  0.000  0.000  0.000
Ac  0.500  0.500  0.000
Ce  0.000  0.500  0.500
Er  0.500  0.000  0.500
As  0.245  0.000  0.727
As  0.260  0.500  0.274
As  0.740  0.500  0.726
As  0.755  0.000  0.273



Here is crystalline HfCuGePd2 at its relaxed geometry from Alexandria. Energies are from PBE-GGA.

Computed properties:
Space group: P4/mmm
Electronic total energy in eV/cell: -26.6
V in Å³/cell: 99

a = 4.579 Å, b = 4.579 Å, c = 4.715 Å
α = 90.00°, β = 90.00°, γ = 90.00°
Sites, in units of the cell vectors:
Hf  0.000  0.000  0.000
Cu  0.000  0.000  0.500
Ge  0.500  0.500  0.000
Pd  0.000  0.500  0.500
Pd  0.500  0.000  0.500



Here is crystalline Rb2LiPu3F12 at its relaxed geometry from Alexandria. Energies are from PBE-GGA.

Computed properties:
Space group: R-3m
Electronic total energy in eV/cell: -127.9
V in Å³/cell: 401
Raw formation energy in eV/atom: -3.25

a = 8.104 Å, b = 8.104 Å, c = 8.104 Å
α = 62.95°, β = 62.95°, γ = 62.95°
Sites, in units of the cell vectors:
Rb  0.166  0.166  0.166
Rb  0.834  0.834  0.834
Li  0.500  0.500  0.500
Pu  0.000  0.500  0.500
Pu  0.500  0.000  0.500
Pu  0.500  0.500  0.000
F  0.168  0.168  0.540
F  0.168  0.540  0.168
F  0.199  0.562  0.562
F  0.438  0.438  0.801
F  0.438  0.801  0.438
F  0.460  0.832  0.832
F  0.540  0.168  0.168
F  0.562  0.199  0.562
F  0.562  0.562  0.199
F  0.801  0.438  0.438
F  0.832  0.460  0.832
F  0.832  0.832  0.460



Here is crystalline CsPuBi2 at its relaxed geometry from Alexandria. Energies are from PBE-GGA.

Computed properties:
Space group: P4/mmm
Electronic total energy in eV/cell: -24.2
V in Å³/cell: 156

a = 4.295 Å, b = 4.295 Å, c = 8.429 Å
α = 90.00°, β = 90.00°, γ = 90.00°
Sites, in units of the cell vectors:
Cs  0.000  0.000  0.000
Pu  0.000  0.000  0.500
Bi  0.500  0.500  0.319
Bi  0.500  0.500  0.681



Here is crystalline Sm4SnGe3Pd12 at its relaxed geometry from Alexandria. Energies are from PBE-GGA.

Computed properties:
Space group: Im-3m
Electronic total energy in eV/cell: -106.9
V in Å³/cell: 434

a = 8.259 Å, b = 8.259 Å, c = 8.259 Å
α = 109.47°, β = 109.47°, γ = 109.47°
Sites, in units of the cell vectors:
Sm  0.000  0.000  0.500
Sm  0.000  0.500  0.000
Sm  0.500  0.000  0.000
Sm  0.500  0.500  0.500
Sn  0.000  0.000  0.000
Ge  0.000  0.500  0.500
Ge  0.500  0.000  0.500
Ge  0.500  0.500  0.000
Pd  0.000  0.260  0.260
Pd  0.000  0.740  0.740
Pd  0.250  0.500  0.750
Pd  0.250  0.750  0.500
Pd  0.260  0.000  0.260
Pd  0.260  0.260  0.000
Pd  0.500  0.250  0.750
Pd  0.500  0.750  0.250
Pd  0.740  0.000  0.740
Pd  0.740  0.740  0.000
Pd  0.750  0.250  0.500
Pd  0.750  0.500  0.250



Here is crystalline NiPbCl2 at its relaxed geometry from Alexandria. Energies are from PBE-GGA.

Computed properties:
Space group: Pmmm
Electronic total energy in eV/cell: -13.2
V in Å³/cell: 89
Raw formation energy in eV/atom: -0.01

a = 3.571 Å, b = 4.369 Å, c = 5.684 Å
α = 90.00°, β = 90.00°, γ = 90.00°
Sites, in units of the cell vectors:
Ni  0.000  0.000  0.000
Pb  0.500  0.000  0.500
Cl  0.000  0.500  0.500
Cl  0.500  0.500  0.000



Here is crystalline K7HgAu2O2 at its relaxed geometry from Alexandria. Energies are from PBE-GGA.

Computed properties:
Space group: Imm2
Electronic total energy in eV/cell: -31.2
V in Å³/cell: 433
Raw formation energy in eV/atom: -0.56

a = 13.618 Å, b = 13.618 Å, c = 13.618 Å
α = 160.40°, β = 36.77°, γ = 149.20°
Sites, in units of the cell vectors:
K  0.000  0.000  0.000
K  0.098  0.893  0.206
K  0.221  0.604  0.617
K  0.514  0.606  0.907
K  0.687  0.893  0.794
K  0.699  0.606  0.093
K  0.988  0.604  0.383
Hg  0.415  0.915  0.500
Au  0.179  0.382  0.798
Au  0.584  0.382  0.202
O  0.045  0.941  0.104
O  0.837  0.941  0.896